{
  "formula": "Sm3Mg2Cu4",
  "functional": "PBE-GGA",
  "state": "optimized geometry",
  "lattice": [[4.938, -2.206, 0.000], [4.938, 2.206, 0.000], [-0.631, 0.000, 8.867]],
  "species": ["Sm", "Sm", "Sm", "Mg", "Mg", "Cu", "Cu", "Cu", "Cu"],
  "frac_coords": [[0.000, 0.000, 0.000], [0.368, 0.368, 0.616], [0.632, 0.632, 0.384], [0.324, 0.324, 0.221], [0.676, 0.676, 0.779], [0.073, 0.073, 0.626], [0.284, 0.284, 0.926], [0.716, 0.716, 0.074], [0.927, 0.927, 0.374]],
  "dft_energy_ev_per_cell": -35.20,
  "dos_at_fermi_per_ev_fu": 7.2,
  "formation_enthalpy_0k_ev_per_atom": -0.163
}